VASP calculation (GGA-PBE) on a geometry-optimized AgBPt4 structure.

Cell lengths 5.0407, 5.7370, 6.9751 Å; angles 106.18, 111.32, 89.92 degrees
Fractional positions:
Pt: 0.4785 0.0597 0.8101
Pt: 0.9023 0.8587 0.6055
Pt: 0.6677 0.4401 0.1893
Pt: 0.3323 0.5599 0.8107
Pt: 0.0977 0.1413 0.3945
Pt: 0.7030 0.3592 0.6053
Pt: 0.2970 0.6408 0.3947
Pt: 0.5215 0.9403 0.1899
Ag: 0.9212 0.7501 0.0001
Ag: 0.0788 0.2499 0.9999
B: 0.0000 0.5000 0.5000
B: 0.5000 0.0000 0.5000

Properties
Spin magnetization (μB per cell): 0.00
Electronic total energy (eV/atom): -5.7472
Formation energy from the elements (eV per atom): -0.1319
Energy above the most stable polymorph in this dataset (meV/atom): 0.0